1.
# AsIrSe2 (PBE-GGA, relaxed)
# crystal system: trigonal
# M_tot: 0.00 μB/f.u.
# DFT total energy: -5.08 eV/atom
# ΔE_f (raw): 0.17 eV/f.u.
data_AsIrSe2
_cell_length_a 3.5582
_cell_length_b 3.5582
_cell_length_c 23.0570
_cell_angle_alpha 90.00
_cell_angle_beta 90.00
_cell_angle_gamma 120.00
_symmetry_space_group_name_H-M 'R 3 m'
_symmetry_Int_Tables_number 160
_symmetry_space_group_name_Hall 'R 3 -2"'
loop_
_atom_site_label
_atom_site_type_symbol
_atom_site_fract_x
_atom_site_fract_y
_atom_site_fract_z
As1 As 0.0000 0.0000 0.0000
Ir1 Ir 0.0000 0.0000 0.2577
Se1 Se 0.0000 0.0000 0.5353
Se2 Se 0.0000 0.0000 0.7404

2.
# NpGa2Pt4 (PBE-GGA, relaxed)
# crystal system: orthorhombic
# M_tot: 3.45 μB/f.u.
# DFT total energy: -6.75 eV/atom
# formation enthalpy at 0 K: -585 meV/atom
data_NpGa2Pt4
_cell_length_a 16.3077
_cell_length_b 4.1491
_cell_length_c 7.3834
_cell_angle_alpha 90.00
_cell_angle_beta 90.00
_cell_angle_gamma 90.00
_symmetry_space_group_name_H-M 'P n m a'
_symmetry_Int_Tables_number 62
loop_
_symmetry_equiv_pos_as_xyz
'x,y,z'
'-x,-y,-z'
'-x+1/2,-y,z+1/2'
'x+1/2,y,-z+1/2'
'x+1/2,-y+1/2,-z+1/2'
'-x+1/2,y+1/2,z+1/2'
'-x,y+1/2,-z'
'x,-y+1/2,z'
loop_
_atom_site_label
_atom_site_type_symbol
_atom_site_fract_x
_atom_site_fract_y
_atom_site_fract_z
Np1 Np 0.1501 0.2500 0.0740
Ga1 Ga 0.0147 0.7500 0.2528
Ga2 Ga 0.1852 0.2500 0.6229
Pt1 Pt 0.0457 0.7500 0.9108
Pt2 Pt 0.0532 0.2500 0.4349
Pt3 Pt 0.1719 0.7500 0.3829
Pt4 Pt 0.2135 0.7500 0.8261

3.
# AlTl2CdMo (PBE-GGA, relaxed)
# crystal system: tetragonal
# M_tot: 3.06 μB/f.u.
# DFT total energy: -3.09 eV/atom
# formation enthalpy at 0 K: 954 meV/atom
data_AlTl2CdMo
_cell_length_a 5.2945
_cell_length_b 5.2945
_cell_length_c 5.0351
_cell_angle_alpha 90.00
_cell_angle_beta 90.00
_cell_angle_gamma 90.00
_symmetry_space_group_name_H-M 'P 4/m m m'
_symmetry_Int_Tables_number 123
_symmetry_space_group_name_Hall '-P 4 2'
loop_
_atom_site_label
_atom_site_type_symbol
_atom_site_fract_x
_atom_site_fract_y
_atom_site_fract_z
Al1 Al 0.0000 0.0000 0.0000
Tl1 Tl 0.0000 0.5000 0.0000
Cd1 Cd 0.5000 0.5000 0.5000
Mo1 Mo 0.0000 0.0000 0.5000